DyTm2Ag: relaxed, PBE.

```
DyTm2Ag
1.0
1.780 1.028 10.205
-1.780 1.028 10.205
0.000 -2.056 10.205
Dy Tm Ag
1 2 1
Direct
0.000 0.000 0.000
0.574 0.574 0.574
0.759 0.759 0.759
0.166 0.166 0.166
```

Total magnetic moment   0.16 μB/f.u.
ΔE to the lowest computed polymorph   125 meV per atom

DyTm3Ag: relaxed, PBE.

```
DyTm3Ag
1.0
5.489 -3.665 0.000
5.489 3.665 0.000
-2.765 0.000 7.126
Dy Tm Ag
2 6 2
Direct
0.059 0.059 0.239
0.941 0.941 0.761
0.088 0.587 0.352
0.413 0.912 0.648
0.440 0.440 0.759
0.560 0.560 0.241
0.587 0.088 0.352
0.912 0.413 0.648
0.255 0.255 0.000
0.745 0.745 0.000
```

Electronic total energy   -4.18 eV per atom
Total magnetic moment   0.00 μB/f.u.

DyTm4Ag5: relaxed, PBE.

```
DyTm4Ag5
1.0
3.563 0.000 0.000
0.000 3.563 0.000
0.000 0.000 18.303
Dy Tm Ag
1 4 5
Direct
0.000 0.000 0.000
0.000 0.000 0.202
0.000 0.000 0.401
0.000 0.000 0.599
0.000 0.000 0.798
0.500 0.500 0.103
0.500 0.500 0.301
0.500 0.500 0.500
0.500 0.500 0.699
0.500 0.500 0.897
```

Electronic total energy   -4.01 eV per atom
Total magnetic moment   0.00 μB/f.u.

Which value of total magnetic moment does entry 1 give?
0.16 μB/f.u.

Number 2 is which compound?
DyTm3Ag

What did the second record say?
DyTm3Ag: relaxed, PBE.

```
DyTm3Ag
1.0
5.489 -3.665 0.000
5.489 3.665 0.000
-2.765 0.000 7.126
Dy Tm Ag
2 6 2
Direct
0.059 0.059 0.239
0.941 0.941 0.761
0.088 0.587 0.352
0.413 0.912 0.648
0.440 0.440 0.759
0.560 0.560 0.241
0.587 0.088 0.352
0.912 0.413 0.648
0.255 0.255 0.000
0.745 0.745 0.000
```

Electronic total energy   -4.18 eV per atom
Total magnetic moment   0.00 μB/f.u.

What did the first record say?
DyTm2Ag: relaxed, PBE.

```
DyTm2Ag
1.0
1.780 1.028 10.205
-1.780 1.028 10.205
0.000 -2.056 10.205
Dy Tm Ag
1 2 1
Direct
0.000 0.000 0.000
0.574 0.574 0.574
0.759 0.759 0.759
0.166 0.166 0.166
```

Total magnetic moment   0.16 μB/f.u.
ΔE to the lowest computed polymorph   125 meV per atom